Record 1
# Sm3Zn4Pt4, optimized geometry, DFT PBE
# Calculated volume (Å³/atom): 19.83
# Total DFT energy (no corrections) (eV/atom): -4.82
# ΔE_f (eV per atom): -0.878
# Energy above the most stable polymorph in this dataset (meV per atom): 0.0
data_Sm3Zn4Pt4
_chemical_formula_sum 'Sm6 Zn8 Pt8'
_space_group_name_H-M_alt 'I m m m'
_space_group_IT_number 71
_space_group_name_Hall '-I 2 2'
_cell_length_a 4.092
_cell_length_b 7.453
_cell_length_c 14.300
_cell_angle_alpha 90.00
_cell_angle_beta 90.00
_cell_angle_gamma 90.00
loop_
_atom_site_label
_atom_site_type_symbol
_atom_site_fract_x
_atom_site_fract_y
_atom_site_fract_z
Sm1 Sm 0.000 0.000 0.000
Sm2 Sm 0.000 0.500 0.126
Zn1 Zn 0.000 0.304 0.327
Pt1 Pt 0.000 0.000 0.219
Pt2 Pt 0.000 0.197 0.500



Record 2
# K2Zr2ScS6, optimized geometry, DFT PBE
# Calculated volume (Å³/atom): 24.89
# Energy relative to the elements, uncorrected (eV/atom): -1.6480
# Total DFT energy (no corrections) (eV/atom): -6.23
data_K2Zr2ScS6
_chemical_formula_sum 'K4 Zr4 Sc2 S12'
_space_group_name_H-M_alt 'C 1 2/m 1'
_space_group_IT_number 12
_cell_length_a 6.446
_cell_length_b 11.166
_cell_length_c 7.903
_cell_angle_alpha 90.00
_cell_angle_beta 105.77
_cell_angle_gamma 90.00
loop_
_space_group_symop_operation_xyz
'x,y,z'
'-x,-y,-z'
'-x,y,-z'
'x,-y,z'
'x+1/2,y+1/2,z'
'-x+1/2,-y+1/2,-z'
'-x+1/2,y+1/2,-z'
'x+1/2,-y+1/2,z'
loop_
_atom_site_label
_atom_site_type_symbol
_atom_site_fract_x
_atom_site_fract_y
_atom_site_fract_z
K1 K 0.000 0.167 0.000
Zr1 Zr 0.000 0.333 0.500
Sc1 Sc 0.000 0.000 0.500
S1 S 0.230 0.500 0.694
S2 S 0.232 0.166 0.694



Record 3
# PmGeS3, optimized geometry, DFT PBE
# Calculated volume (Å³/atom): 21.99
# Energy relative to the elements, uncorrected (eV/atom): -1.0887
# Total DFT energy (no corrections) (eV/atom): -5.44
# Energy above the most stable polymorph in this dataset (meV per atom): 60.0
data_PmGeS3
_chemical_formula_sum 'Pm4 Ge4 S12'
_space_group_name_H-M_alt 'P n a 21'
_space_group_IT_number 33
_cell_length_a 7.551
_cell_length_b 6.431
_cell_length_c 9.058
_cell_angle_alpha 90.00
_cell_angle_beta 90.00
_cell_angle_gamma 90.00
loop_
_space_group_symop_operation_xyz
'x,y,z'
'-x,-y,z+1/2'
'-x+1/2,y+1/2,z+1/2'
'x+1/2,-y+1/2,z'
loop_
_atom_site_label
_atom_site_type_symbol
_atom_site_fract_x
_atom_site_fract_y
_atom_site_fract_z
Pm1 Pm 0.110 0.037 0.000
Ge1 Ge 0.054 0.514 0.231
S1 S 0.034 0.381 0.487
S2 S 0.171 0.831 0.304
S3 S 0.180 0.828 0.691



Record 4
# Mn2SbPCl, optimized geometry, DFT PBE
# Calculated volume (Å³/atom): 27.79
# Energy relative to the elements, uncorrected (eV/atom): 0.8199
# Total DFT energy (no corrections) (eV/atom): -5.12
data_Mn2SbPCl
_chemical_formula_sum 'Mn2 Sb1 P1 Cl1'
_space_group_name_H-M_alt 'P 4/m m m'
_space_group_IT_number 123
_space_group_name_Hall '-P 4 2'
_cell_length_a 5.267
_cell_length_b 5.267
_cell_length_c 5.009
_cell_angle_alpha 90.00
_cell_angle_beta 90.00
_cell_angle_gamma 90.00
loop_
_atom_site_label
_atom_site_type_symbol
_atom_site_fract_x
_atom_site_fract_y
_atom_site_fract_z
Mn1 Mn 0.000 0.500 0.000
Sb1 Sb 0.000 0.000 0.000
P1 P 0.000 0.000 0.500
Cl1 Cl 0.500 0.500 0.500



Number 1 is which compound? Sm3Zn4Pt4